# 1
A geometry-optimized PmSnPd3 structure. Source: Alexandria, functional PBE.

abc: 5.8529 5.8529 15.7219
angles: 90.00 90.00 120.00
Space group P6_3/mmc (No. 194)
Symmetry-distinct sites (fractional):
Pm  0.0000  0.0000  0.0000
Pm  0.3333  0.6667  0.2500
Sn  0.3333  0.6667  0.6288
Pd  0.0000  0.5000  0.0000
Pd  0.1530  0.3060  0.7500

Output
Calculated formation energy   -485 meV/atom
Total magnetization   0.0 Bohr magnetons per cell
Energy relative to the lowest polymorph listed for this composition   15.9 kJ/mol of atoms
Total energy   -107.03 eV for the cell shown



# 2
A geometry-optimized HoEr3Tm3Se8 structure. Source: Alexandria, functional PBE.

abc: 8.0269 8.0269 19.6716
angles: 90.00 90.00 120.00
Space group R-3m (No. 166, hexagonal axes)
Symmetry-distinct sites (fractional):
Ho  0.0000  0.0000  0.0000
Er  0.0000  0.5000  0.5000
Tm  0.0000  0.5000  0.0000
Se  0.0000  0.0000  0.2506
Se  0.0073  0.5036  0.2488

Output
Total magnetization   0.0 Bohr magnetons per cell
Total energy   -258.97 eV for the cell shown



# 3
A geometry-optimized CaTb2PuS4 structure. Source: Alexandria, functional PBE.

abc: 6.866 3.947 6.867
angles: 90.00 109.39 90.00
Space group P2/m (No. 10)
Symmetry-distinct sites (fractional):
Ca  0.000  0.000  0.000
Tb  0.000  0.500  0.500
Tb  0.500  0.000  0.500
Pu  0.500  0.500  0.000
S  0.249  0.000  0.748
S  0.250  0.500  0.254

Output
Total magnetization   5.9 Bohr magnetons per cell
Total energy   -57.92 eV for the cell shown



# 4
A geometry-optimized CrSiIr structure. Source: Alexandria, functional PBE.

abc: 5.698 5.698 5.698
angles: 90.00 90.00 90.00
Space group F-43m (No. 216)
Symmetry-distinct sites (fractional):
Cr  0.000  0.000  0.000
Si  0.000  0.000  0.500
Ir  0.250  0.250  0.750

Output
Total magnetization   4.0 Bohr magnetons per cell
Total energy   -99.00 eV for the cell shown



# 5
A geometry-optimized Zn2CdSe structure. Source: Alexandria, functional PBE.

abc: 4.390 4.390 8.231
angles: 90.00 90.00 90.00
Space group I-4m2 (No. 119)
Symmetry-distinct sites (fractional):
Zn  0.000  0.000  0.000
Zn  0.000  0.500  0.250
Cd  0.000  0.500  0.750
Se  0.000  0.000  0.500

Output
Total magnetization   0.0 Bohr magnetons per cell
Energy relative to the lowest polymorph listed for this composition   22.8 kJ/mol of atoms
Total energy   -12.78 eV for the cell shown



# 6
A geometry-optimized Li12SiAu6 structure. Source: Alexandria, functional PBE.

abc: 9.6040 9.6040 11.8380
angles: 90.00 90.00 120.00
Space group R-3 (No. 148, hexagonal axes)
Symmetry-distinct sites (fractional):
Li  0.0383  0.8483  0.3184
Li  0.0589  0.2236  0.9130
Si  0.0000  0.0000  0.5000
Au  0.0206  0.5901  0.2128

Output
Total magnetization   0.0 Bohr magnetons per cell
Total energy   -167.10 eV for the cell shown



# 7
A geometry-optimized Ho4GaSbTe2 structure. Source: Alexandria, functional PBE.

abc: 7.524 4.230 7.552
angles: 90.00 108.63 90.00
Space group P2/m (No. 10)
Symmetry-distinct sites (fractional):
Ho  0.235  0.000  0.230
Ho  0.243  0.500  0.769
Ga  0.000  0.500  0.000
Sb  0.500  0.000  0.000
Te  0.000  0.000  0.500
Te  0.500  0.500  0.500

Output
Total magnetization   0.0 Bohr magnetons per cell
Total energy   -40.43 eV for the cell shown



# 8
A geometry-optimized Ho3Cu2Ag3 structure. Source: Alexandria, functional PBE.

abc: 7.2802 7.2802 3.6887
angles: 90.00 90.00 120.00
Space group P-62m (No. 189)
Symmetry-distinct sites (fractional):
Ho  0.0000  0.4012  0.0000
Cu  0.3333  0.6667  0.5000
Ag  0.0000  0.7615  0.5000

Output
Calculated formation energy   -276 meV/atom
Total magnetization   0.0 Bohr magnetons per cell
Total energy   -32.69 eV for the cell shown